# 1
Density functional theory data (PBE) for a geometry-optimized Ag2Br3 structure.

The total energy comes out at -11.71 eV/f.u.

It has space group Imm2 (No. 44), with a = 4.072 Å, b = 12.290 Å, c = 5.876 Å, α = 90.00°, β = 90.00° and γ = 90.00°. The inequivalent atoms are Ag at (0.000, 0.158, 0.000), Br at (0.000, 0.000, 0.291) and Br at (0.000, 0.349, 0.209).


# 2
Density functional theory data (PBE) for a geometry-optimized Gd5DyEr2 structure.

The total energy comes out at -36.91 eV/f.u. For the energy of formation from the pure elements, the calculation gives 0.0114 eV per atom.

It has space group Amm2 (No. 38), with a = 5.664 Å, b = 7.225 Å, c = 12.507 Å, α = 90.00°, β = 90.00° and γ = 90.00°. The inequivalent atoms are Gd at (0.000, 0.000, 0.000), Gd at (0.000, 0.250, 0.250), Gd at (0.500, 0.250, 0.083), Dy at (0.500, 0.000, 0.334), Er at (0.000, 0.000, 0.500) and Er at (0.500, 0.000, 0.834).